La5TbPm2Pr: relaxed, PBE-GGA.

Cell: 10.0797 10.0797 10.0797 Å, 125.90 125.90 80.04°
With the nearest neighbours (Å) after each atom.
Element x y z (fractional)
La 0.0000 0.0000 0.0000  4 Pm 3.69, 2 Pr 3.86, 8 La 3.92
La 0.0675 0.5675 0.9115  1 Pm 3.16, 1 Tb 3.18
La 0.1560 0.0675 0.5000  1 Pm 3.16, 1 Tb 3.18
La 0.3440 0.8440 0.9115  1 Pm 3.16, 1 Tb 3.18
La 0.4325 0.3440 0.5000  1 Pm 3.16, 1 Tb 3.18
La 0.5000 0.5000 0.0000  4 Pm 3.69, 2 Pr 3.86, 8 La 3.92
La 0.5675 0.6560 0.5000  1 Pm 3.16, 1 Tb 3.18
La 0.6560 0.1560 0.0885  1 Pm 3.16, 1 Tb 3.18
La 0.8440 0.9325 0.5000  1 Pm 3.16, 1 Tb 3.18
La 0.9325 0.4325 0.0885  1 Pm 3.16, 1 Tb 3.18
Tb 0.2500 0.7500 0.5000  4 La 3.18
Tb 0.7500 0.2500 0.5000  4 La 3.18
Pm 0.1145 0.3855 0.5000  1 Pm 2.97, 2 La 3.16
Pm 0.3855 0.8855 0.2710  1 Pm 2.97, 2 La 3.16
Pm 0.6145 0.1145 0.7290  1 Pm 2.97, 2 La 3.16
Pm 0.8855 0.6145 0.5000  1 Pm 2.97, 2 La 3.16
Pr 0.2500 0.2500 0.0000  10 La 3.72-3.86
Pr 0.7500 0.7500 0.0000  10 La 3.72-3.86

**Density of states at the Fermi level**: 32.5 states/eV/cell
**Energy of formation**: 2.3 eV/f.u.

***

LaTb2PmPr: relaxed, PBE-GGA.

Cell: 7.2625 7.2625 7.2477 Å, 90.00 90.00 107.88°
With the nearest neighbours (Å) after each atom.
Element x y z (fractional)
La 0.2347 0.7653 0.7500  1 Pr 3.11
La 0.7653 0.2347 0.2500  1 Pr 3.11
Tb 0.1869 0.1869 0.0000  1 Tb 3.20, 2 Pr 3.23, 2 Pm 3.56
Tb 0.1869 0.1869 0.5000  1 Tb 3.20, 2 Pr 3.23, 2 Pm 3.56
Tb 0.8131 0.8131 0.0000  1 Tb 3.20, 2 Pr 3.23, 2 Pm 3.56
Tb 0.8131 0.8131 0.5000  1 Tb 3.20, 2 Pr 3.23, 2 Pm 3.56
Pm 0.2230 0.7770 0.2500  1 Pr 3.25, 4 Tb 3.56, 2 La 3.63
Pm 0.7770 0.2230 0.7500  1 Pr 3.25, 4 Tb 3.56, 2 La 3.63
Pr 0.5001 0.4999 0.2500  1 La 3.11, 4 Tb 3.23, 1 Pm 3.25
Pr 0.4999 0.5001 0.7500  1 La 3.11, 4 Tb 3.23, 1 Pm 3.25

**Density of states at the Fermi level**: 16.1 states/eV/cell
**Energy of formation**: 1.7 eV/f.u.

***

La2TbPmPr6: relaxed, PBE-GGA.

Cell: 8.9948 8.9948 10.2228 Å, 95.30 95.30 117.80°
With the nearest neighbours (Å) after each atom.
Element x y z (fractional)
La 0.1921 0.2873 0.0411  5 Pr 3.34-3.64, 2 Pm 3.43-3.47, 1 Tb 3.66
La 0.2873 0.1921 0.5411  5 Pr 3.34-3.64, 2 Pm 3.43-3.47, 1 Tb 3.66
La 0.7127 0.8079 0.4589  5 Pr 3.34-3.64, 2 Pm 3.43-3.47, 1 Tb 3.66
La 0.8079 0.7127 0.9589  5 Pr 3.34-3.64, 2 Pm 3.43-3.47, 1 Tb 3.66
Tb 0.4052 0.5948 0.7500  8 Pr 3.49-3.87, 2 La 3.66
Tb 0.5948 0.4052 0.2500  8 Pr 3.49-3.87, 2 La 3.66
Pm 0.0119 0.9881 0.2500  4 La 3.43-3.47, 4 Pr 3.68-3.70
Pm 0.9881 0.0119 0.7500  4 La 3.43-3.47, 4 Pr 3.68-3.70
Pr 0.0168 0.5787 0.1887  4 Pr 3.42-3.76, 1 La 3.51, 1 Tb 3.51, 1 Pm 3.70
Pr 0.1192 0.7404 0.5552  7 Pr 3.53-3.91, 1 La 3.64, 1 Pm 3.68, 1 Tb 3.87
Pr 0.2596 0.8808 0.9448  7 Pr 3.53-3.91, 1 La 3.64, 1 Pm 3.68, 1 Tb 3.87
Pr 0.2989 0.5023 0.3795  3 La 3.34-3.61, 4 Pr 3.42-3.67, 2 Tb 3.49-3.74
Pr 0.4213 0.9832 0.3113  4 Pr 3.42-3.76, 1 La 3.51, 1 Tb 3.51, 1 Pm 3.70
Pr 0.4977 0.7011 0.1205  3 La 3.34-3.61, 4 Pr 3.42-3.67, 2 Tb 3.49-3.74
Pr 0.5023 0.2989 0.8795  3 La 3.34-3.61, 4 Pr 3.42-3.67, 2 Tb 3.49-3.74
Pr 0.5787 0.0168 0.6887  4 Pr 3.42-3.76, 1 La 3.51, 1 Tb 3.51, 1 Pm 3.70
Pr 0.7011 0.4977 0.6205  3 La 3.34-3.61, 4 Pr 3.42-3.67, 2 Tb 3.49-3.74
Pr 0.7404 0.1192 0.0552  7 Pr 3.53-3.91, 1 La 3.64, 1 Pm 3.68, 1 Tb 3.87
Pr 0.8808 0.2596 0.4448  7 Pr 3.53-3.91, 1 La 3.64, 1 Pm 3.68, 1 Tb 3.87
Pr 0.9832 0.4213 0.8113  4 Pr 3.42-3.76, 1 La 3.51, 1 Tb 3.51, 1 Pm 3.70

**Density of states at the Fermi level**: 31.4 states/eV/cell
**Energy of formation**: 1.1 eV/f.u.

***

LaTbPm5Pr2: relaxed, PBE-GGA.

Cell: 10.1773 10.1773 10.1773 Å, 128.03 128.03 76.57°
With the nearest neighbours (Å) after each atom.
Element x y z (fractional)
La 0.2500 0.2500 0.0000  10 Pm 3.66-3.99
La 0.7500 0.7500 0.0000  10 Pm 3.66-3.99
Tb 0.2500 0.7500 0.5000  4 Pm 3.18
Tb 0.7500 0.2500 0.5000  4 Pm 3.18
Pm 0.0000 0.0000 0.0000  4 Pr 3.56, 8 Pm 3.88
Pm 0.0704 0.5704 0.9170  1 Pr 3.10, 1 Tb 3.18
Pm 0.1534 0.0704 0.5000  1 Pr 3.10, 1 Tb 3.18
Pm 0.3466 0.8466 0.9170  1 Pr 3.10, 1 Tb 3.18
Pm 0.4296 0.3466 0.5000  1 Pr 3.10, 1 Tb 3.18
Pm 0.5000 0.5000 0.0000  4 Pr 3.56, 8 Pm 3.88
Pm 0.5704 0.6534 0.5000  1 Pr 3.10, 1 Tb 3.18
Pm 0.6534 0.1534 0.0830  1 Pr 3.10, 1 Tb 3.18
Pm 0.8466 0.9296 0.5000  1 Pr 3.10, 1 Tb 3.18
Pm 0.9296 0.4296 0.0830  1 Pr 3.10, 1 Tb 3.18
Pr 0.1184 0.3816 0.5000  1 Pr 2.99, 2 Pm 3.10
Pr 0.3816 0.8816 0.2632  1 Pr 2.99, 2 Pm 3.10
Pr 0.6184 0.1184 0.7368  1 Pr 2.99, 2 Pm 3.10
Pr 0.8816 0.6184 0.5000  1 Pr 2.99, 2 Pm 3.10

**Density of states at the Fermi level**: 25.0 states/eV/cell
**Energy of formation**: 2.3 eV/f.u.

***

LaTb2Pm4Pr: relaxed, PBE-GGA.

Cell: 6.2923 3.6569 12.1591 Å, 90.00 100.15 90.00°
With the nearest neighbours (Å) after each atom.
Element x y z (fractional)
La 0.0000 0.0000 0.0000  4 Tb 3.64, 2 La 3.66, 6 Pm 3.66-3.68
Tb 0.5000 0.0000 0.5000  6 Pm 3.64-3.66, 4 Pr 3.64, 2 Tb 3.66
Tb 0.5000 0.5000 0.0000  4 La 3.64, 6 Pm 3.65-3.67, 2 Tb 3.66
Pm 0.2508 0.0000 0.7504  6 Pm 3.63-3.66, 3 Tb 3.65-3.66, 1 La 3.66, 2 Pr 3.66
Pm 0.2518 0.5000 0.2518  6 Pm 3.63-3.66, 3 Tb 3.64-3.67, 1 Pr 3.65, 2 La 3.68
Pm 0.7482 0.5000 0.7482  6 Pm 3.63-3.66, 3 Tb 3.64-3.67, 1 Pr 3.65, 2 La 3.68
Pm 0.7492 0.0000 0.2496  6 Pm 3.63-3.66, 3 Tb 3.65-3.66, 1 La 3.66, 2 Pr 3.66
Pr 0.0000 0.5000 0.5000  4 Tb 3.64, 6 Pm 3.65-3.66, 2 Pr 3.66

**Density of states at the Fermi level**: 12.6 states/eV/cell
**Energy of formation**: 0.1 eV/f.u.

***

LaTb5PmPr2: relaxed, PBE-GGA.

Cell: 10.0697 10.0697 10.0697 Å, 128.44 128.44 75.91°
With the nearest neighbours (Å) after each atom.
Element x y z (fractional)
La 0.2500 0.7500 0.5000  4 Tb 3.12
La 0.7500 0.2500 0.5000  4 Tb 3.12
Tb 0.0000 0.0000 0.0000  4 Pr 3.49, 8 Tb 3.83
Tb 0.0693 0.5693 0.9148  1 Pr 3.07, 1 La 3.12
Tb 0.1545 0.0693 0.5000  1 Pr 3.07, 1 La 3.12
Tb 0.3455 0.8455 0.9148  1 Pr 3.07, 1 La 3.12
Tb 0.4307 0.3455 0.5000  1 Pr 3.07, 1 La 3.12
Tb 0.5000 0.5000 0.0000  4 Pr 3.49, 8 Tb 3.83
Tb 0.5693 0.6545 0.5000  1 Pr 3.07, 1 La 3.12
Tb 0.6545 0.1545 0.0852  1 Pr 3.07, 1 La 3.12
Tb 0.8455 0.9307 0.5000  1 Pr 3.07, 1 La 3.12
Tb 0.9307 0.4307 0.0852  1 Pr 3.07, 1 La 3.12
Pm 0.2500 0.2500 0.0000  10 Tb 3.61-3.97
Pm 0.7500 0.7500 0.0000  10 Tb 3.61-3.97
Pr 0.1194 0.3806 0.5000  1 Pr 2.96, 2 Tb 3.07
Pr 0.3806 0.8806 0.2613  1 Pr 2.96, 2 Tb 3.07
Pr 0.6194 0.1194 0.7387  1 Pr 2.96, 2 Tb 3.07
Pr 0.8806 0.6194 0.5000  1 Pr 2.96, 2 Tb 3.07

**Density of states at the Fermi level**: 21.1 states/eV/cell
**Energy of formation**: 2.1 eV/f.u.

***

Number 1: total energy -41.23 eV/f.u.. Number 2: total energy -22.03 eV/f.u.. Number 3: total energy -46.85 eV/f.u.. Number 4: total energy -40.58 eV/f.u.. Number 5: total energy -37.83 eV/f.u.. Number 6: total energy -40.25 eV/f.u..